[1]
DFT (SCAN) results for SrCaCo2 at its PBEsol-relaxed geometry.

abc: 4.898 4.898 3.472
angles: 90.00 90.00 90.00
Positions (direct):
Sr: 0.000 0.000 0.000
Ca: 0.500 0.500 0.000
Co: 0.000 0.500 0.500
Co: 0.500 0.000 0.500

Calculated density (Mg/m³): 4.895
Calculated formation energy (kJ/mol of formula units): 219
Symmetry: P4/mmm
DOS(E_F) (states/eV per atom): 1.06

---

[2]
DFT (SCAN) results for BaNiHg3 at its PBEsol-relaxed geometry.

abc: 5.027 5.027 5.027
angles: 90.00 90.00 90.00
Positions (direct):
Ba: 0.000 0.000 0.000
Ni: 0.500 0.500 0.500
Hg: 0.000 0.500 0.500
Hg: 0.500 0.000 0.500
Hg: 0.500 0.500 0.000

Calculated density (Mg/m³): 10.430
Calculated formation energy (kJ/mol of formula units): -177
Symmetry: Pm-3m
DOS(E_F) (states/eV per atom): 0.44

---

[3]
DFT (SCAN) results for Mn3VNi2P6O24 at its PBEsol-relaxed geometry.

abc: 8.296 8.296 8.296
angles: 61.26 61.26 61.26
Positions (direct):
Mn: 0.000 0.000 0.000
Mn: 0.220 0.220 0.220
Mn: 0.720 0.720 0.720
V: 0.501 0.501 0.501
Ni: 0.361 0.361 0.361
Ni: 0.859 0.859 0.859
P: 0.109 0.402 0.820
P: 0.319 0.904 0.610
P: 0.402 0.820 0.109
P: 0.610 0.319 0.904
P: 0.820 0.109 0.402
P: 0.904 0.610 0.319
O: 0.044 0.243 0.853
O: 0.107 0.450 0.300
O: 0.119 0.907 0.773
O: 0.176 0.365 0.980
O: 0.243 0.853 0.044
O: 0.274 0.420 0.617
O: 0.300 0.107 0.450
O: 0.365 0.980 0.176
O: 0.368 0.743 0.535
O: 0.420 0.617 0.274
O: 0.450 0.300 0.107
O: 0.479 0.867 0.676
O: 0.535 0.368 0.743
O: 0.605 0.803 0.948
O: 0.617 0.274 0.420
O: 0.676 0.479 0.867
O: 0.743 0.535 0.368
O: 0.773 0.119 0.907
O: 0.803 0.948 0.605
O: 0.853 0.044 0.243
O: 0.867 0.676 0.479
O: 0.907 0.773 0.119
O: 0.948 0.605 0.803
O: 0.980 0.176 0.365

Calculated density (Mg/m³): 3.611
Symmetry: R3
Formation energy without anion corrections (eV/atom): -2.262
DOS(E_F) (states/eV per atom): 0.27

---

[4]
DFT (SCAN) results for NaCd2Ge3O9 at its PBEsol-relaxed geometry.

abc: 7.077 7.144 8.015
angles: 93.48 102.66 90.17
Positions (direct):
Na: 0.243 0.144 0.443
Na: 0.757 0.856 0.557
Cd: 0.086 0.642 0.852
Cd: 0.412 0.368 0.148
Cd: 0.588 0.632 0.852
Cd: 0.914 0.358 0.148
Ge: 0.094 0.152 0.794
Ge: 0.236 0.640 0.460
Ge: 0.442 0.854 0.203
Ge: 0.558 0.146 0.797
Ge: 0.764 0.360 0.540
Ge: 0.906 0.848 0.206
O: 0.019 0.772 0.414
O: 0.020 0.062 0.189
O: 0.111 0.341 0.945
O: 0.211 0.436 0.326
O: 0.294 0.605 0.678
O: 0.312 0.075 0.740
O: 0.319 0.062 0.149
O: 0.389 0.669 0.047
O: 0.415 0.794 0.410
O: 0.585 0.206 0.590
O: 0.611 0.331 0.953
O: 0.681 0.938 0.851
O: 0.688 0.925 0.260
O: 0.706 0.395 0.322
O: 0.789 0.564 0.674
O: 0.889 0.659 0.055
O: 0.980 0.938 0.811
O: 0.981 0.228 0.586

Calculated density (Mg/m³): 5.131
Symmetry: P-1
Formation energy without anion corrections (eV/atom): -1.591

---

[5]
DFT (SCAN) results for CrSiH8O4F6 at its PBEsol-relaxed geometry.

abc: 5.391 9.578 7.378
angles: 90.00 102.01 90.00
Positions (direct):
Cr: 0.000 0.000 0.000
Cr: 0.000 0.500 0.500
Si: 0.500 0.000 0.500
Si: 0.500 0.500 0.000
H: 0.227 0.238 0.961
H: 0.227 0.262 0.461
H: 0.232 0.146 0.780
H: 0.232 0.354 0.280
H: 0.238 0.732 0.447
H: 0.238 0.768 0.947
H: 0.242 0.632 0.272
H: 0.242 0.868 0.772
H: 0.758 0.132 0.228
H: 0.758 0.368 0.728
H: 0.762 0.232 0.053
H: 0.762 0.268 0.553
H: 0.768 0.646 0.720
H: 0.768 0.854 0.220
H: 0.773 0.738 0.539
H: 0.773 0.762 0.039
O: 0.136 0.163 0.880
O: 0.136 0.337 0.380
O: 0.229 0.633 0.404
O: 0.229 0.867 0.904
O: 0.771 0.133 0.096
O: 0.771 0.367 0.596
O: 0.864 0.663 0.620
O: 0.864 0.837 0.120
F: 0.272 0.612 0.050
F: 0.272 0.888 0.550
F: 0.312 0.039 0.296
F: 0.312 0.461 0.796
F: 0.370 0.137 0.602
F: 0.370 0.363 0.102
F: 0.630 0.637 0.898
F: 0.630 0.863 0.398
F: 0.688 0.539 0.204
F: 0.688 0.961 0.704
F: 0.728 0.112 0.450
F: 0.728 0.388 0.950

Calculated density (Mg/m³): 2.372
Symmetry: P2_1/c
DOS(E_F) (states/eV per atom): 0.00
VASP energy (eV/atom): -7.018

---

[6]
DFT (SCAN) results for RbCr2CdHg at its PBEsol-relaxed geometry.

abc: 6.011 6.011 6.206
angles: 90.00 90.00 90.00
Positions (direct):
Rb: 0.000 0.000 0.000
Cr: 0.000 0.500 0.000
Cr: 0.500 0.000 0.000
Cd: 0.500 0.500 0.500
Hg: 0.000 0.000 0.500

Calculated density (Mg/m³): 3.721
Calculated formation energy (kJ/mol of formula units): 677
Symmetry: P4/mmm
DOS(E_F) (states/eV per atom): 0.42

---

[7]
DFT (SCAN) results for CaLa2Pd2 at its PBEsol-relaxed geometry.

abc: 6.570 6.570 6.570
angles: 132.36 132.36 69.67
Positions (direct):
Ca: 0.000 0.000 0.000
La: 0.336 0.336 0.000
La: 0.664 0.664 0.000
Pd: 0.250 0.750 0.500
Pd: 0.750 0.250 0.500

Calculated density (Mg/m³): 5.803
Calculated formation energy (kJ/mol of formula units): -175
Symmetry: I4/mmm
DOS(E_F) (states/eV per atom): 0.83

---

[8]
DFT (SCAN) results for Pr8C8Cl5 at its PBEsol-relaxed geometry.

abc: 7.598 16.708 6.763
angles: 90.00 104.24 90.00
Positions (direct):
Pr: 0.073 0.196 0.130
Pr: 0.073 0.304 0.630
Pr: 0.153 0.070 0.625
Pr: 0.153 0.430 0.125
Pr: 0.229 0.550 0.617
Pr: 0.229 0.950 0.117
Pr: 0.309 0.672 0.104
Pr: 0.309 0.828 0.604
Pr: 0.691 0.172 0.396
Pr: 0.691 0.328 0.896
Pr: 0.771 0.050 0.883
Pr: 0.771 0.450 0.383
Pr: 0.847 0.570 0.875
Pr: 0.847 0.930 0.375
Pr: 0.927 0.696 0.370
Pr: 0.927 0.804 0.870
C: 0.023 0.039 0.224
C: 0.023 0.461 0.724
C: 0.050 0.660 0.764
C: 0.050 0.840 0.264
C: 0.102 0.585 0.220
C: 0.102 0.915 0.720
C: 0.163 0.715 0.715
C: 0.163 0.785 0.215
C: 0.837 0.215 0.785
C: 0.837 0.285 0.285
C: 0.898 0.085 0.280
C: 0.898 0.415 0.780
C: 0.950 0.160 0.736
C: 0.950 0.340 0.236
C: 0.977 0.539 0.276
C: 0.977 0.961 0.776
Cl: 0.349 0.204 0.522
Cl: 0.349 0.296 0.022
Cl: 0.413 0.097 0.021
Cl: 0.413 0.403 0.521
Cl: 0.500 0.000 0.500
Cl: 0.500 0.500 0.000
Cl: 0.587 0.597 0.479
Cl: 0.587 0.903 0.979
Cl: 0.651 0.704 0.978
Cl: 0.651 0.796 0.478

Calculated density (Mg/m³): 5.590
Symmetry: P2_1/c
Formation energy without anion corrections (eV/atom): -1.152
DOS(E_F) (states/eV per atom): 0.21

---

Which of these has the lowest calculated density? CrSiH8O4F6